# BaCdH2

A relaxed BaCdH2 crystal (GGA-PBE, Alexandria).

a b c (Å): 7.1580 7.1580 7.1580
angles (deg): 137.65 137.65 61.44
Sites, in units of the cell vectors:
1 Ba 0.0000 0.0000 0.0000
2 Ba 0.7500 0.2500 0.5000
3 Cd 0.2500 0.7500 0.5000
4 Cd 0.5000 0.5000 0.0000
5 H 0.2013 0.6250 0.0763
6 H 0.3750 0.4513 0.5763
7 H 0.5487 0.1250 0.9237
8 H 0.8750 0.7987 0.4237

Output
Energy above the most stable polymorph in this dataset: 0.146 eV per atom